1.
Entry from the Alexandria database: OsAu2Se after structural relaxation (PBE).

Computed properties:
crystal system = orthorhombic
uncorrected energy = -4.85 eV per atom

Cell and atoms, written as extended XYZ:
```
4
Lattice="1.4383 -2.4980 0.0000 1.4383 2.4980 0.0000 0.0000 0.0000 10.4797" Properties=species:S:1:pos:R:3 pbc="T T T"
Os 0.0000 0.0000 0.0000
Au 0.0000 0.0000 5.4482
Au 1.4383 0.0000 8.0344
Se 1.4383 0.0000 1.9890
```

***

2.
Entry from the Alexandria database: Os3AuSe after structural relaxation (PBE).

Computed properties:
crystal system = cubic
polymorph energy (0 for the lowest one) = 0 meV per atom

Cell and atoms, written as extended XYZ:
```
5
Lattice="4.5350 0.0000 0.0000 0.0000 4.5350 0.0000 0.0000 0.0000 4.5350" Properties=species:S:1:pos:R:3 pbc="T T T"
Os 0.0000 0.0000 2.2675
Os 0.0000 2.2675 0.0000
Os 2.2675 0.0000 0.0000
Au 2.2675 2.2675 2.2675
Se 0.0000 0.0000 0.0000
```

***

3.
Entry from the Alexandria database: OsAu2Se after structural relaxation (PBE).

Computed properties:
crystal system = orthorhombic
uncorrected energy = -4.68 eV per atom

Cell and atoms, written as extended XYZ:
```
4
Lattice="1.3782 -2.5237 0.0000 1.3782 2.5237 0.0000 0.0000 0.0000 10.3201" Properties=species:S:1:pos:R:3 pbc="T T T"
Os 0.0000 0.0000 0.0000
Au 1.3782 0.0000 2.4294
Au 1.3782 0.0000 7.8907
Se 0.0000 0.0000 5.1600
```

***

4.
Entry from the Alexandria database: OsAu2Se after structural relaxation (PBE).

Computed properties:
crystal system = monoclinic
uncorrected energy = -4.73 eV per atom

Cell and atoms, written as extended XYZ:
```
4
Lattice="6.5846 -1.4552 0.0000 6.5846 1.4552 0.0000 -0.9959 0.0000 3.9962" Properties=species:S:1:pos:R:3 pbc="T T T"
Os 0.0000 0.0000 0.0000
Au 3.2706 0.0000 3.1701
Au 8.9028 0.0000 0.8261
Se 6.0867 0.0000 1.9981
```